# Tm6HPb3 | the Alexandria database | PBE | optimized geometry
data_Tm6HPb3
_chemical_formula_sum 'Tm12 H2 Pb6'
_cell_length_a 5.793
_cell_length_b 9.903
_cell_length_c 9.903
_cell_angle_alpha 115.44
_cell_angle_beta 90.00
_cell_angle_gamma 90.00
_symmetry_space_group_name_H-M 'P 1'
_symmetry_Int_Tables_number 1
_symmetry_space_group_name_Hall 'P 1'
loop_
_atom_site_label
_atom_site_type_symbol
_atom_site_fract_x
_atom_site_fract_y
_atom_site_fract_z
Pb1 Pb 0.594 0.590 0.410
Pb2 Pb 0.592 0.927 0.742
Pb3 Pb 0.092 0.073 0.258
Pb4 Pb 0.592 0.258 0.073
Pb5 Pb 0.092 0.742 0.927
Pb6 Pb 0.094 0.410 0.590
Tm1 Tm 0.111 0.072 0.928
Tm2 Tm 0.259 0.751 0.249
Tm3 Tm 0.613 0.589 0.743
Tm4 Tm 0.253 0.422 0.910
Tm5 Tm 0.613 0.257 0.411
Tm6 Tm 0.113 0.743 0.589
Tm7 Tm 0.113 0.411 0.257
Tm8 Tm 0.253 0.090 0.578
Tm9 Tm 0.753 0.578 0.090
Tm10 Tm 0.611 0.928 0.072
Tm11 Tm 0.759 0.249 0.751
Tm12 Tm 0.753 0.910 0.422
H1 H 0.604 0.799 0.201
H2 H 0.104 0.201 0.799
# - VASP energy: -4.48 eV/atom
# - Crystal system: orthorhombic

***

# Tb3Pm4Pt4 | the Alexandria database | PBE | optimized geometry
data_Tb3Pm4Pt4
_chemical_formula_sum 'Tb3 Pm4 Pt4'
_cell_length_a 3.870
_cell_length_b 8.951
_cell_length_c 9.617
_cell_angle_alpha 117.74
_cell_angle_beta 101.61
_cell_angle_gamma 90.00
_symmetry_space_group_name_H-M 'P 1'
_symmetry_Int_Tables_number 1
_symmetry_space_group_name_Hall 'P 1'
loop_
_atom_site_label
_atom_site_type_symbol
_atom_site_fract_x
_atom_site_fract_y
_atom_site_fract_z
Pt1 Pt 0.742 0.242 0.483
Pt2 Pt 0.500 0.806 0.000
Pt3 Pt 0.500 0.194 0.000
Pt4 Pt 0.258 0.758 0.517
Pm1 Pm 0.336 0.522 0.671
Pm2 Pm 0.336 0.149 0.671
Pm3 Pm 0.664 0.851 0.329
Pm4 Pm 0.664 0.478 0.329
Tb1 Tb 0.099 0.099 0.198
Tb2 Tb 0.000 0.500 0.000
Tb3 Tb 0.901 0.901 0.802
# - DFT formation energy: -816.3 meV per atom
# - Crystal system: orthorhombic

***

# SrIn4Ag6 | the Alexandria database | PBE | optimized geometry
data_SrIn4Ag6
_chemical_formula_sum 'Sr1 In4 Ag6'
_cell_length_a 4.722
_cell_length_b 7.845
_cell_length_c 7.845
_cell_angle_alpha 120.00
_cell_angle_beta 90.00
_cell_angle_gamma 90.00
_symmetry_space_group_name_H-M 'P 1'
_symmetry_Int_Tables_number 1
_symmetry_space_group_name_Hall 'P 1'
loop_
_atom_site_label
_atom_site_type_symbol
_atom_site_fract_x
_atom_site_fract_y
_atom_site_fract_z
Sr1 Sr 0.000 0.333 0.667
In1 In 0.500 0.460 0.062
In2 In 0.500 0.938 0.398
In3 In 0.000 0.000 0.000
In4 In 0.500 0.602 0.540
Ag1 Ag 0.500 0.754 0.948
Ag2 Ag 0.000 0.846 0.570
Ag3 Ag 0.000 0.725 0.154
Ag4 Ag 0.000 0.430 0.275
Ag5 Ag 0.500 0.195 0.246
Ag6 Ag 0.500 0.052 0.805
# - DFT formation energy: -146.1 meV per atom
# - Energy relative to the lowest polymorph listed for this composition: 0 meV per atom
# - Crystal system: hexagonal

***

# BaNi2Pb | the Alexandria database | PBE | optimized geometry
data_BaNi2Pb
_chemical_formula_sum 'Ba1 Ni2 Pb1'
_cell_length_a 4.521
_cell_length_b 4.521
_cell_length_c 6.202
_cell_angle_alpha 68.50
_cell_angle_beta 68.50
_cell_angle_gamma 59.97
_symmetry_space_group_name_H-M 'P 1'
_symmetry_Int_Tables_number 1
_symmetry_space_group_name_Hall 'P 1'
loop_
_atom_site_label
_atom_site_type_symbol
_atom_site_fract_x
_atom_site_fract_y
_atom_site_fract_z
Ni1 Ni 0.936 0.936 0.194
Ni2 Ni 0.564 0.564 0.306
Pb1 Pb 0.250 0.250 0.250
Ba1 Ba 0.750 0.750 0.750
# - DFT formation energy: -91.3 meV per atom
# - Energy relative to the lowest polymorph listed for this composition: 0 meV per atom
# - Crystal system: monoclinic

***

# PrNdAgRu | the Alexandria database | PBE | optimized geometry
data_PrNdAgRu
_chemical_formula_sum 'Pr1 Nd1 Ag1 Ru1'
_cell_length_a 5.140
_cell_length_b 5.140
_cell_length_c 5.140
_cell_angle_alpha 60.00
_cell_angle_beta 60.00
_cell_angle_gamma 60.00
_symmetry_space_group_name_H-M 'P 1'
_symmetry_Int_Tables_number 1
_symmetry_space_group_name_Hall 'P 1'
loop_
_atom_site_label
_atom_site_type_symbol
_atom_site_fract_x
_atom_site_fract_y
_atom_site_fract_z
Ru1 Ru 0.750 0.750 0.750
Nd1 Nd 0.000 0.000 0.000
Ag1 Ag 0.250 0.250 0.250
Pr1 Pr 0.500 0.500 0.500
# - DFT formation energy: -181.9 meV per atom
# - Energy relative to the lowest polymorph listed for this composition: 46 meV per atom
# - Crystal system: cubic

***

# Dy2TlHg | the Alexandria database | PBE | optimized geometry
data_Dy2TlHg
_chemical_formula_sum 'Dy4 Tl2 Hg2'
_cell_length_a 3.715
_cell_length_b 5.342
_cell_length_c 10.724
_cell_angle_alpha 90.00
_cell_angle_beta 90.00
_cell_angle_gamma 90.00
_symmetry_space_group_name_H-M 'P 1'
_symmetry_Int_Tables_number 1
_symmetry_space_group_name_Hall 'P 1'
loop_
_atom_site_label
_atom_site_type_symbol
_atom_site_fract_x
_atom_site_fract_y
_atom_site_fract_z
Tl1 Tl 0.500 0.250 0.373
Tl2 Tl 0.500 0.750 0.627
Dy1 Dy 0.000 0.250 0.631
Dy2 Dy 0.000 0.250 0.119
Dy3 Dy 0.000 0.750 0.881
Dy4 Dy 0.000 0.750 0.369
Hg1 Hg 0.500 0.250 0.876
Hg2 Hg 0.500 0.750 0.124
# - DFT formation energy: -406.8 meV per atom
# - Crystal system: orthorhombic

***

# Ce2AsO | the Alexandria database | PBE | optimized geometry
data_Ce2AsO
_chemical_formula_sum 'Ce2 As1 O1'
_cell_length_a 3.846
_cell_length_b 3.846
_cell_length_c 6.770
_cell_angle_alpha 73.50
_cell_angle_beta 73.50
_cell_angle_gamma 60.00
_symmetry_space_group_name_H-M 'P 1'
_symmetry_Int_Tables_number 1
_symmetry_space_group_name_Hall 'P 1'
loop_
_atom_site_label
_atom_site_type_symbol
_atom_site_fract_x
_atom_site_fract_y
_atom_site_fract_z
As1 As 0.000 0.000 0.000
Ce1 Ce 0.764 0.764 0.708
Ce2 Ce 0.236 0.236 0.292
O1 O 0.500 0.500 0.500
# - Energy relative to the lowest polymorph listed for this composition: 0 meV per atom
# - ΔE_f (raw): -2.0155 eV/atom
# - Crystal system: trigonal

***

# LaH3Se | the Alexandria database | PBE | optimized geometry
data_LaH3Se
_chemical_formula_sum 'La1 H3 Se1'
_cell_length_a 4.272
_cell_length_b 4.272
_cell_length_c 4.272
_cell_angle_alpha 90.00
_cell_angle_beta 90.00
_cell_angle_gamma 90.00
_symmetry_space_group_name_H-M 'P 1'
_symmetry_Int_Tables_number 1
_symmetry_space_group_name_Hall 'P 1'
loop_
_atom_site_label
_atom_site_type_symbol
_atom_site_fract_x
_atom_site_fract_y
_atom_site_fract_z
Se1 Se 0.500 0.500 0.500
H1 H 0.000 0.500 0.000
H2 H 0.000 0.000 0.500
H3 H 0.500 0.000 0.000
La1 La 0.000 0.000 0.000
# - Energy relative to the lowest polymorph listed for this composition: 0 meV per atom
# - Crystal system: cubic

***

What did the second record say?
# Tb3Pm4Pt4 | the Alexandria database | PBE | optimized geometry
data_Tb3Pm4Pt4
_chemical_formula_sum 'Tb3 Pm4 Pt4'
_cell_length_a 3.870
_cell_length_b 8.951
_cell_length_c 9.617
_cell_angle_alpha 117.74
_cell_angle_beta 101.61
_cell_angle_gamma 90.00
_symmetry_space_group_name_H-M 'P 1'
_symmetry_Int_Tables_number 1
_symmetry_space_group_name_Hall 'P 1'
loop_
_atom_site_label
_atom_site_type_symbol
_atom_site_fract_x
_atom_site_fract_y
_atom_site_fract_z
Pt1 Pt 0.742 0.242 0.483
Pt2 Pt 0.500 0.806 0.000
Pt3 Pt 0.500 0.194 0.000
Pt4 Pt 0.258 0.758 0.517
Pm1 Pm 0.336 0.522 0.671
Pm2 Pm 0.336 0.149 0.671
Pm3 Pm 0.664 0.851 0.329
Pm4 Pm 0.664 0.478 0.329
Tb1 Tb 0.099 0.099 0.198
Tb2 Tb 0.000 0.500 0.000
Tb3 Tb 0.901 0.901 0.802
# - DFT formation energy: -816.3 meV per atom
# - Crystal system: orthorhombic